Computed, not measured: a relaxed LaPmYTh crystal at the PBE level of DFT.

abc: 8.1707 8.1707 8.1707
angles: 90.00 90.00 90.00
Space group F-43m (No. 216)
Unique sites:
La1 0.0000 0.0000 0.0000 [4 per cell]
Pm1 0.0000 0.0000 0.5000 [4 per cell]
Y1 0.2500 0.2500 0.2500 [4 per cell]
Th1 0.2500 0.2500 0.7500 [4 per cell]

Properties
Energy of formation   0.8 eV/f.u.
Polymorph energy (0 for the lowest one)   181.1 meV/atom
Energy   -90.9 eV for the cell shown


Computed, not measured: a relaxed La12Pm7Tl crystal at the PBE level of DFT.

abc: 12.5348 12.5348 15.5403
angles: 90.00 90.00 120.00
Space group R-3 (No. 148, hexagonal axes)
Unique sites:
La1 0.0258 0.5850 0.2106 [18 per cell]
La2 0.0581 0.4683 0.5839 [18 per cell]
Pm1 0.0000 0.0000 0.0000 [3 per cell]
Pm2 0.0524 0.8699 0.3037 [18 per cell]
Tl1 0.0000 0.0000 0.5000 [3 per cell]

Properties
Energy of formation   2.2 eV/f.u.
Energy   -277.7 eV for the cell shown


Computed, not measured: a relaxed BaTcOs crystal at the PBE level of DFT.

abc: 6.6171 6.6171 6.6171
angles: 90.00 90.00 90.00
Space group F-43m (No. 216)
Unique sites:
Ba1 0.0000 0.0000 0.0000 [4 per cell]
Tc1 0.2500 0.2500 0.2500 [4 per cell]
Os1 0.2500 0.2500 0.7500 [4 per cell]

Properties
Energy of formation   7.8 eV/f.u.
Polymorph energy (0 for the lowest one)   2223.9 meV/atom
Energy   -63.0 eV for the cell shown


Computed, not measured: a relaxed Eu3NbO6 crystal at the PBE level of DFT.

abc: 5.7896 6.0639 10.1735
angles: 90.00 124.66 90.00
Space group P2_1/c (No. 14)
Unique sites:
Eu1 0.0000 0.0000 0.0000 [2 per cell]
Eu2 0.2616 0.0546 0.7449 [4 per cell]
Nb1 0.5000 0.0000 0.5000 [2 per cell]
O1 0.1546 0.0551 0.2734 [4 per cell]
O2 0.2697 0.6783 0.0542 [4 per cell]
O3 0.4005 0.2220 0.0726 [4 per cell]

Properties
Energy   -199.6 eV for the cell shown
Uncorrected formation energy   -29.1 eV/f.u.


Computed, not measured: a relaxed TlZnIn4 crystal at the PBE level of DFT.

abc: 5.3200 9.6608 12.3378
angles: 90.00 100.50 90.00
Space group C2/m (No. 12)
Unique sites:
Tl1 0.0706 0.0000 0.1387 [4 per cell]
Zn1 0.0000 0.2506 0.5000 [4 per cell]
In1 0.0000 0.3341 0.0000 [4 per cell]
In2 0.1384 0.3367 0.2742 [8 per cell]
In3 0.2101 0.0000 0.4121 [4 per cell]

Properties
Energy of formation   0.2 eV/f.u.
Polymorph energy (0 for the lowest one)   0.0 meV/atom
Energy   -57.6 eV for the cell shown


Computed, not measured: a relaxed ThCdRu2 crystal at the PBE level of DFT.

abc: 4.5306 4.5306 3.7289
angles: 90.00 90.00 90.00
Space group P4/mmm (No. 123)
Unique sites:
Th1 0.0000 0.0000 0.0000 [1 per cell]
Cd1 0.5000 0.5000 0.0000 [1 per cell]
Ru1 0.0000 0.5000 0.5000 [2 per cell]

Properties
Energy of formation   -0.6 eV/f.u.
Polymorph energy (0 for the lowest one)   0.0 meV/atom
Energy   -27.5 eV for the cell shown


Computed, not measured: a relaxed Sr3Cd3Au8 crystal at the PBE level of DFT.

abc: 4.7856 9.7981 14.2943
angles: 90.00 90.00 90.00
Space group Immm (No. 71)
Unique sites:
Sr1 0.0000 0.0000 0.0000 [2 per cell]
Sr2 0.0000 0.0000 0.2901 [4 per cell]
Cd1 0.0000 0.1987 0.5000 [4 per cell]
Cd2 0.0000 0.5000 0.0000 [2 per cell]
Au1 0.0000 0.2873 0.1346 [8 per cell]
Au2 0.0000 0.3592 0.3358 [8 per cell]

Properties
Energy of formation   -7.4 eV/f.u.
Energy   -82.9 eV for the cell shown


Computed, not measured: a relaxed Mg2CoHgBi crystal at the PBE level of DFT.

abc: 5.5871 5.5871 4.8568
angles: 90.00 90.00 90.00
Space group P4/mmm (No. 123)
Unique sites:
Mg1 0.0000 0.5000 0.0000 [2 per cell]
Co1 0.0000 0.0000 0.5000 [1 per cell]
Hg1 0.5000 0.5000 0.5000 [1 per cell]
Bi1 0.0000 0.0000 0.0000 [1 per cell]

Properties
Energy of formation   3.2 eV/f.u.
Energy   -11.3 eV for the cell shown


Computed, not measured: a relaxed Ac2Pr7Ho3 crystal at the PBE level of DFT.

abc: 6.5808 3.6700 18.2018
angles: 90.00 95.97 90.00
Space group P2/m (No. 10)
Unique sites:
Ac1 0.0616 0.0000 0.1722 [2 per cell]
Pr1 0.0000 0.5000 0.5000 [1 per cell]
Pr2 0.2314 0.0000 0.6666 [2 per cell]
Pr3 0.2616 0.0000 0.9967 [2 per cell]
Pr4 0.2817 0.5000 0.3399 [2 per cell]
Ho1 0.4503 0.5000 0.8399 [2 per cell]
Ho2 0.5000 0.0000 0.5000 [1 per cell]

Properties
Energy of formation   1.0 eV/f.u.
Energy   -54.4 eV for the cell shown


Computed, not measured: a relaxed Zr2MnSeS4 crystal at the PBE level of DFT.

abc: 12.0514 3.5431 8.7417
angles: 90.00 118.25 90.00
Space group C2/m (No. 12)
Unique sites:
Zr1 0.1751 0.0000 0.2408 [4 per cell]
Mn1 0.0000 0.0000 0.5000 [2 per cell]
Se1 0.0000 0.5000 0.0000 [2 per cell]
S1 0.1268 0.5000 0.4323 [4 per cell]
S2 0.1819 0.0000 0.7850 [4 per cell]

Properties
Energy   -111.1 eV for the cell shown
Uncorrected formation energy   -9.3 eV/f.u.


Computed, not measured: a relaxed KMgSc2 crystal at the PBE level of DFT.

abc: 4.9832 4.9832 9.5371
angles: 90.00 90.00 90.00
Space group I-4m2 (No. 119)
Unique sites:
K1 0.0000 0.0000 0.0000 [2 per cell]
Mg1 0.0000 0.5000 0.7500 [2 per cell]
Sc1 0.0000 0.0000 0.5000 [2 per cell]
Sc2 0.0000 0.5000 0.2500 [2 per cell]

Properties
Energy of formation   2.4 eV/f.u.
Energy   -26.0 eV for the cell shown


Computed, not measured: a relaxed DyHoU crystal at the PBE level of DFT.

abc: 5.4892 16.7618 3.8022
angles: 90.00 90.00 90.00
Space group Cmcm (No. 63)
Unique sites:
Dy1 0.0000 0.0901 0.2500 [4 per cell]
Ho1 0.0000 0.2718 0.7500 [4 per cell]
U1 0.0000 0.4516 0.2500 [4 per cell]

Properties
Energy of formation   0.6 eV/f.u.
Energy   -79.5 eV for the cell shown


Computed, not measured: a relaxed Na3MgPb crystal at the PBE level of DFT.

abc: 11.6915 8.1630 6.8401
angles: 90.00 90.00 90.00
Space group Ima2 (No. 46)
Unique sites:
Na1 0.0248 0.2480 0.0000 [8 per cell]
Na2 0.2500 0.0772 0.2536 [4 per cell]
Mg1 0.2500 0.7504 0.0044 [4 per cell]
Pb1 0.2500 0.0385 0.7532 [4 per cell]

Properties
Energy of formation   0.1 eV/f.u.
Polymorph energy (0 for the lowest one)   0.0 meV/atom
Energy   -36.6 eV for the cell shown


Computed, not measured: a relaxed MgTcRu2 crystal at the PBE level of DFT.

abc: 2.8816 4.4304 4.6034
angles: 90.00 90.00 90.00
Space group Pmmm (No. 47)
Unique sites:
Mg1 0.0000 0.0000 0.0000 [1 per cell]
Tc1 0.5000 0.0000 0.5000 [1 per cell]
Ru1 0.0000 0.5000 0.5000 [1 per cell]
Ru2 0.5000 0.5000 0.0000 [1 per cell]

Properties
Energy of formation   1.2 eV/f.u.
Energy   -29.3 eV for the cell shown


Computed, not measured: a relaxed Nd2SmErSe5 crystal at the PBE level of DFT.

abc: 5.0994 5.0994 10.8748
angles: 90.00 90.00 90.00
Space group P4/mmm (No. 123)
Unique sites:
Nd1 0.0000 0.0000 0.1764 [2 per cell]
Sm1 0.5000 0.5000 0.5000 [1 per cell]
Er1 0.5000 0.5000 0.0000 [1 per cell]
Se1 0.0000 0.0000 0.5000 [1 per cell]
Se2 0.0000 0.5000 0.0000 [2 per cell]
Se3 0.5000 0.5000 0.2505 [2 per cell]

Properties
Energy   -47.9 eV for the cell shown
Uncorrected formation energy   -11.7 eV/f.u.


Computed, not measured: a relaxed Ce4Ag crystal at the PBE level of DFT.

abc: 13.3116 6.2916 6.2065
angles: 90.00 100.93 90.00
Space group C2/m (No. 12)
Unique sites:
Ce1 0.0277 0.0000 0.2586 [4 per cell]
Ce2 0.0934 0.5000 0.1360 [4 per cell]
Ce3 0.1449 0.2730 0.5855 [8 per cell]
Ag1 0.2038 0.0000 0.0274 [4 per cell]

Properties
Energy of formation   0.5 eV/f.u.
Polymorph energy (0 for the lowest one)   105.2 meV/atom
Energy   -104.3 eV for the cell shown


Computed, not measured: a relaxed MgNi crystal at the PBE level of DFT.

abc: 5.0473 5.0473 7.9756
angles: 90.00 90.00 120.00
Space group P6_3/mmc (No. 194)
Unique sites:
Mg1 0.0000 0.0000 0.0000 [2 per cell]
Mg2 0.3333 0.6667 0.0711 [4 per cell]
Ni1 0.1756 0.3512 0.7500 [6 per cell]

Properties
Energy of formation   -0.3 eV/f.u.
Energy   -46.2 eV for the cell shown


Computed, not measured: a relaxed MgAlAg2 crystal at the PBE level of DFT.

abc: 7.5382 7.5382 5.6622
angles: 90.00 90.00 90.00
Space group I-42d (No. 122)
Unique sites:
Mg1 0.0000 0.0000 0.0000 [4 per cell]
Al1 0.0000 0.0000 0.5000 [4 per cell]
Ag1 0.2227 0.2500 0.6250 [8 per cell]

Properties
Energy of formation   0.6 eV/f.u.
Polymorph energy (0 for the lowest one)   323.3 meV/atom
Energy   -41.7 eV for the cell shown


Computed, not measured: a relaxed Cr2CoBr crystal at the PBE level of DFT.

abc: 5.8563 5.8563 5.8563
angles: 90.00 90.00 90.00
Space group Fm-3m (No. 225)
Unique sites:
Cr1 0.2500 0.2500 0.2500 [8 per cell]
Co1 0.0000 0.0000 0.0000 [4 per cell]
Br1 0.0000 0.0000 0.5000 [4 per cell]

Properties
Polymorph energy (0 for the lowest one)   457.4 meV/atom
Energy   -97.6 eV for the cell shown
Uncorrected formation energy   3.6 eV/f.u.


Computed, not measured: a relaxed Cu2AuCl6 crystal at the PBE level of DFT.

abc: 7.2949 16.7046 8.0901
angles: 90.00 90.00 90.00
Space group Ibam (No. 72)
Unique sites:
Cu1 0.2261 0.1786 0.0000 [8 per cell]
Au1 0.0000 0.0000 0.2500 [4 per cell]
Cl1 0.0172 0.2767 0.0000 [8 per cell]
Cl2 0.2285 0.0993 0.2367 [16 per cell]

Properties
Polymorph energy (0 for the lowest one)   19.8 meV/atom
Energy   -103.7 eV for the cell shown
Uncorrected formation energy   -3.4 eV/f.u.